An optimized crystal structure of HfVIn2O6. Source: the Alexandria database, functional PBE with a Hubbard U.

Calculated values
**Total DFT energy (no corrections)**: -73.917 eV for the cell shown

Lattice parameters (Å, degrees): 5.8229 5.8229 5.8229 56.32 56.32 56.32
Element x y z (fractional)
Hf  0.0000  0.0000  0.0000
V  0.5030  0.5030  0.5030
In  0.2106  0.2106  0.2106
In  0.7143  0.7143  0.7143
O  0.1091  0.8019  0.3849
O  0.2843  0.6227  0.8980
O  0.3849  0.1091  0.8019
O  0.6227  0.8980  0.2843
O  0.8019  0.3849  0.1091
O  0.8980  0.2843  0.6227